Entry 1:
Here is crystalline SnPPt6Pb2 at its relaxed geometry from Alexandria via LeMat-Bulk. Energies are from PBE.

Output
**V**: 412 Å³ per cell
**Fermi-level density of states**: 7.80 states/eV/cell
**ΔH_f (0 K)**: -0.2776 eV/atom

Unit cell a=6.663 b=8.333 c=7.421 alpha=90.00 beta=90.00 gamma=90.00
Space group Pmmn (No. 59, origin choice 2)
Asymmetric unit:
Sn 0.250 0.250 0.233 [2 per cell]
P 0.250 0.750 0.257 [2 per cell]
Pt 0.032 0.250 0.933 [4 per cell]
Pt 0.044 0.250 0.554 [4 per cell]
Pt 0.250 0.518 0.435 [4 per cell]
Pb 0.250 0.539 0.822 [4 per cell]

---

Entry 2:
Here is crystalline SnP2Pt7Pb2 at its relaxed geometry from Alexandria via LeMat-Bulk. Energies are from PBE.

Output
**V**: 473 Å³ per cell
**Fermi-level density of states**: 6.53 states/eV/cell
**ΔH_f (0 K)**: -0.4131 eV/atom

Unit cell a=3.937 b=3.937 c=30.524 alpha=90.00 beta=90.00 gamma=90.00
Space group I4/mmm (No. 139)
Asymmetric unit:
Sn 0.000 0.000 0.000 [2 per cell]
P 0.000 0.000 0.384 [4 per cell]
Pt 0.000 0.000 0.309 [4 per cell]
Pt 0.000 0.000 0.500 [2 per cell]
Pt 0.000 0.500 0.073 [8 per cell]
Pb 0.000 0.000 0.212 [4 per cell]

---

Entry 3:
Here is crystalline SrPPt2Pb at its relaxed geometry from Alexandria via LeMat-Bulk. Energies are from PBE.

Output
**V**: 150 Å³ per cell
**Fermi-level density of states**: 4.97 states/eV/cell
**ΔH_f (0 K)**: 0.8662 eV/atom

Unit cell a=5.063 b=5.063 c=5.848 alpha=90.00 beta=90.00 gamma=90.00
Space group P4/mmm (No. 123)
Asymmetric unit:
Sr 0.000 0.000 0.000 [1 per cell]
P 0.500 0.500 0.000 [1 per cell]
Pt 0.000 0.500 0.500 [2 per cell]
Pb 0.000 0.000 0.500 [1 per cell]

---

Entry 4:
Here is crystalline TbP2Pt7Pb2 at its relaxed geometry from Alexandria via LeMat-Bulk. Energies are from PBE.

Output
**V**: 482 Å³ per cell
**Fermi-level density of states**: 7.29 states/eV/cell
**ΔH_f (0 K)**: -0.6248 eV/atom

Unit cell a=5.649 b=5.645 c=15.385 alpha=90.00 beta=100.52 gamma=90.00
Space group C2/m (No. 12)
Asymmetric unit:
Tb 0.000 0.000 0.000 [2 per cell]
P 0.115 0.500 0.231 [4 per cell]
Pt 0.000 0.500 0.000 [2 per cell]
Pt 0.177 0.250 0.854 [8 per cell]
Pt 0.191 0.500 0.382 [4 per cell]
Pb 0.211 0.000 0.422 [4 per cell]